# InTcSb4 PBE relaxed
# - energy relative to the elements, uncorrected (eV per atom) = 0.81
data_InTcSb4
_chemical_formula_sum 'In4 Tc4 Sb16'
_space_group_name_H-M_alt 'F -4 3 m'
_space_group_IT_number 216
_space_group_name_Hall 'F -4 2 3'
_cell_length_a 8.790
_cell_length_b 8.790
_cell_length_c 8.790
_cell_angle_alpha 90.00
_cell_angle_beta 90.00
_cell_angle_gamma 90.00
loop_
_atom_site_label
_atom_site_type_symbol
_atom_site_fract_x
_atom_site_fract_y
_atom_site_fract_z
In1 In 0.000 0.000 0.000
Tc1 Tc 0.250 0.250 0.250
Sb1 Sb 0.125 0.125 0.625


Below is MgBeP after structural relaxation, with properties calculated at the PBE level.

Structure (CIF):
```
data_MgBeP
_chemical_formula_sum 'Mg2 Be2 P2'
_space_group_name_H-M_alt 'P 1'
_space_group_IT_number 1
_space_group_name_Hall 'P 1'
_cell_length_a 3.594
_cell_length_b 3.594
_cell_length_c 9.122
_cell_angle_alpha 90.00
_cell_angle_beta 79.08
_cell_angle_gamma 60.01
loop_
_atom_site_label
_atom_site_type_symbol
_atom_site_fract_x
_atom_site_fract_y
_atom_site_fract_z
Mg1 Mg 0.000 0.000 0.000
Mg2 Mg 0.140 0.433 0.282
Be1 Be 0.505 0.247 0.734
Be2 Be 0.952 0.526 0.565
P1 P 0.673 0.166 0.481
P2 P 0.788 0.606 0.812
```


Below is KHoIn4 after structural relaxation, with properties calculated at the PBE level.

Structure (CIF):
```
data_KHoIn4
_chemical_formula_sum 'K4 Ho4 In16'
_space_group_name_H-M_alt 'F -4 3 m'
_space_group_IT_number 216
_space_group_name_Hall 'F -4 2 3'
_cell_length_a 8.727
_cell_length_b 8.727
_cell_length_c 8.727
_cell_angle_alpha 90.00
_cell_angle_beta 90.00
_cell_angle_gamma 90.00
loop_
_atom_site_label
_atom_site_type_symbol
_atom_site_fract_x
_atom_site_fract_y
_atom_site_fract_z
K1 K 0.000 0.000 0.000
Ho1 Ho 0.250 0.250 0.750
In1 In 0.125 0.125 0.375
```


# YSi2Ir2Pt PBE relaxed
# - energy relative to the elements, uncorrected (eV per atom) = -0.29
data_YSi2Ir2Pt
_chemical_formula_sum 'Y1 Si2 Ir2 Pt1'
_space_group_name_H-M_alt 'P 4/m m m'
_space_group_IT_number 123
_space_group_name_Hall '-P 4 2'
_cell_length_a 4.509
_cell_length_b 4.509
_cell_length_c 5.486
_cell_angle_alpha 90.00
_cell_angle_beta 90.00
_cell_angle_gamma 90.00
loop_
_atom_site_label
_atom_site_type_symbol
_atom_site_fract_x
_atom_site_fract_y
_atom_site_fract_z
Y1 Y 0.000 0.000 0.000
Si1 Si 0.000 0.500 0.500
Ir1 Ir 0.500 0.500 0.239
Pt1 Pt 0.000 0.000 0.500


Below is TbGa3Pt after structural relaxation, with properties calculated at the PBE level.

Structure (CIF):
```
data_TbGa3Pt
_chemical_formula_sum 'Tb4 Ga12 Pt4'
_space_group_name_H-M_alt 'P n m a'
_space_group_IT_number 62
_space_group_name_Hall '-P 2ac 2n'
_cell_length_a 8.278
_cell_length_b 4.236
_cell_length_c 10.907
_cell_angle_alpha 90.00
_cell_angle_beta 90.00
_cell_angle_gamma 90.00
loop_
_atom_site_label
_atom_site_type_symbol
_atom_site_fract_x
_atom_site_fract_y
_atom_site_fract_z
Tb1 Tb 0.197 0.250 0.018
Ga1 Ga 0.069 0.250 0.590
Ga2 Ga 0.107 0.750 0.822
Ga3 Ga 0.140 0.750 0.212
Pt1 Pt 0.092 0.250 0.352
```


Below is SmCd6Pd12 after structural relaxation, with properties calculated at the PBE level.

Structure (CIF):
```
data_SmCd6Pd12
_chemical_formula_sum 'Sm3 Cd18 Pd36'
_space_group_name_H-M_alt 'R -3'
_space_group_IT_number 148
_space_group_name_Hall '-R 3'
_cell_length_a 11.1115
_cell_length_b 11.1115
_cell_length_c 9.7708
_cell_angle_alpha 90.00
_cell_angle_beta 90.00
_cell_angle_gamma 120.00
loop_
_atom_site_label
_atom_site_type_symbol
_atom_site_fract_x
_atom_site_fract_y
_atom_site_fract_z
Sm1 Sm 0.0000 0.0000 0.0000
Cd1 Cd 0.0872 0.1775 0.7301
Pd1 Pd 0.0010 0.2585 0.9994
Pd2 Pd 0.0542 0.5265 0.1242
```


Below is TaCu2Mo after structural relaxation, with properties calculated at the PBE level.

Structure (CIF):
```
data_TaCu2Mo
_chemical_formula_sum 'Ta2 Cu4 Mo2'
_space_group_name_H-M_alt 'I -4 m 2'
_space_group_IT_number 119
_space_group_name_Hall 'I -4 -2'
_cell_length_a 3.794
_cell_length_b 3.794
_cell_length_c 8.161
_cell_angle_alpha 90.00
_cell_angle_beta 90.00
_cell_angle_gamma 90.00
loop_
_atom_site_label
_atom_site_type_symbol
_atom_site_fract_x
_atom_site_fract_y
_atom_site_fract_z
Ta1 Ta 0.000 0.000 0.000
Cu1 Cu 0.000 0.000 0.500
Cu2 Cu 0.000 0.500 0.750
Mo1 Mo 0.000 0.500 0.250
```


Below is ThBC after structural relaxation, with properties calculated at the PBE level.

Structure (CIF):
```
data_ThBC
_chemical_formula_sum 'Th4 B4 C4'
_space_group_name_H-M_alt 'C 1 2/m 1'
_space_group_IT_number 12
_space_group_name_Hall '-C 2y'
_cell_length_a 12.729
_cell_length_b 3.796
_cell_length_c 3.775
_cell_angle_alpha 90.00
_cell_angle_beta 93.52
_cell_angle_gamma 90.00
loop_
_atom_site_label
_atom_site_type_symbol
_atom_site_fract_x
_atom_site_fract_y
_atom_site_fract_z
Th1 Th 0.141 0.000 0.220
B1 B 0.046 0.500 0.658
C1 C 0.163 0.500 0.734
```


Below is Be3NiC after structural relaxation, with properties calculated at the PBE level.

Structure (CIF):
```
data_Be3NiC
_chemical_formula_sum 'Be3 Ni1 C1'
_space_group_name_H-M_alt 'P m -3 m'
_space_group_IT_number 221
_space_group_name_Hall '-P 4 2 3'
_cell_length_a 3.499
_cell_length_b 3.499
_cell_length_c 3.499
_cell_angle_alpha 90.00
_cell_angle_beta 90.00
_cell_angle_gamma 90.00
loop_
_atom_site_label
_atom_site_type_symbol
_atom_site_fract_x
_atom_site_fract_y
_atom_site_fract_z
Be1 Be 0.000 0.000 0.500
Ni1 Ni 0.500 0.500 0.500
C1 C 0.000 0.000 0.000
```


# BeAuO2 PBE relaxed
# - energy relative to the elements, uncorrected (eV per atom) = -0.63
data_BeAuO2
_chemical_formula_sum 'Be3 Au3 O6'
_space_group_name_H-M_alt 'R -3 m'
_space_group_IT_number 166
_space_group_name_Hall '-R 3 2"'
_cell_length_a 3.6662
_cell_length_b 3.6662
_cell_length_c 14.2639
_cell_angle_alpha 90.00
_cell_angle_beta 90.00
_cell_angle_gamma 120.00
loop_
_atom_site_label
_atom_site_type_symbol
_atom_site_fract_x
_atom_site_fract_y
_atom_site_fract_z
Be1 Be 0.0000 0.0000 0.0000
Au1 Au 0.0000 0.0000 0.5000
O1 O 0.0000 0.0000 0.1014


# CaCdF2 PBE relaxed
# - energy relative to the elements, uncorrected (eV per atom) = -2.73
data_CaCdF2
_chemical_formula_sum 'Ca3 Cd3 F6'
_space_group_name_H-M_alt 'R -3 m'
_space_group_IT_number 166
_space_group_name_Hall '-R 3 2"'
_cell_length_a 3.5940
_cell_length_b 3.5940
_cell_length_c 25.7299
_cell_angle_alpha 90.00
_cell_angle_beta 90.00
_cell_angle_gamma 120.00
loop_
_atom_site_label
_atom_site_type_symbol
_atom_site_fract_x
_atom_site_fract_y
_atom_site_fract_z
Ca1 Ca 0.0000 0.0000 0.0000
Cd1 Cd 0.0000 0.0000 0.5000
F1 F 0.0000 0.0000 0.3708


# HgSbTe2Ir PBE relaxed
# - energy relative to the elements, uncorrected (eV per atom) = 0.44
data_HgSbTe2Ir
_chemical_formula_sum 'Hg1 Sb1 Te2 Ir1'
_space_group_name_H-M_alt 'P 4/m m m'
_space_group_IT_number 123
_space_group_name_Hall '-P 4 2'
_cell_length_a 5.493
_cell_length_b 5.493
_cell_length_c 4.976
_cell_angle_alpha 90.00
_cell_angle_beta 90.00
_cell_angle_gamma 90.00
loop_
_atom_site_label
_atom_site_type_symbol
_atom_site_fract_x
_atom_site_fract_y
_atom_site_fract_z
Hg1 Hg 0.000 0.000 0.000
Sb1 Sb 0.500 0.500 0.000
Te1 Te 0.000 0.500 0.500
Ir1 Ir 0.500 0.500 0.500


The calculation returns the following electronic total energy values, one per record and in order: -4.124 -3.895 -2.902 -7.134 -4.696 -4.032 -7.473 -8.238 -5.020 -4.864 -4.394 -3.476 eV/atom.